A relaxed BaGa2Cu crystal, computed with GGA-PBE. Values from VASP.

Cell and atoms, written as Quantum ESPRESSO input:
```
&SYSTEM
  ibrav = 0, nat = 8, ntyp = 3
/
ATOMIC_SPECIES
Ba 137.33 Ba.upf
Ga 69.72 Ga.upf
Cu 63.55 Cu.upf
ATOMIC_POSITIONS angstrom
Ba 6.2623 1.2765 1.3610
Ba 4.4291 4.1832 4.4366
Ga 3.5040 3.2311 1.2776
Ga 5.3542 5.1353 1.2776
Ga 7.1874 2.2286 4.5200
Ga 5.3372 0.3244 4.5200
Cu 3.3907 1.3473 3.1869
Cu 7.3006 4.1125 2.6107
CELL_PARAMETERS angstrom
5.7431 -0.1415 0.0000
2.0767 5.6719 0.0000
2.8716 -0.0707 5.7976
```

The value obtained for the energy of formation is -0.9 eV per formula unit. The value obtained for the calculated volume is 190.6 Å³/cell. As for the total energy: -3.244 eV per atom.